DFT (PBE-GGA) results for a relaxed BaCr2 crystal.

Results
The value obtained for the formation energy from the elements is 1.154 eV/atom.

abc: 7.4161 7.4161 7.4161
angles: 141.57 141.57 55.47
With the nearest neighbours (Å) after each atom.
Fractional coordinates of all 6 atoms:
Ba 0.0000 0.0000 0.0000  12 Cr 3.41-3.57
Ba 0.7500 0.2500 0.5000  12 Cr 3.41-3.57
Cr 0.5684 0.5684 0.0000  1 Cr 1.80
Cr 0.1816 0.6816 0.5000  1 Cr 1.80
Cr 0.4316 0.4316 0.0000  1 Cr 1.80
Cr 0.3184 0.8184 0.5000  1 Cr 1.80

***

DFT (PBE-GGA) results for a relaxed Ba2Cr crystal.

Results
The value obtained for the formation energy from the elements is 0.669 eV/atom.

abc: 5.7415 5.7821 4.5519
angles: 89.67 90.00 119.77
With the nearest neighbours (Å) after each atom.
Fractional coordinates of all 3 atoms:
Ba 0.6660 0.3319 0.2851  3 Cr 3.57-3.59, 3 Ba 3.85-3.87
Ba 0.3340 0.6681 0.7149  3 Cr 3.57-3.59, 3 Ba 3.85-3.87
Cr 0.0000 0.0000 0.0000  6 Ba 3.57-3.59

***

DFT (PBE-GGA) results for a relaxed BaCr5 crystal.

Results
The value obtained for the formation energy from the elements is 0.690 eV/atom.

abc: 4.6207 4.6207 8.3623
angles: 77.98 77.98 38.38
With the nearest neighbours (Å) after each atom.
Fractional coordinates of all 6 atoms:
Ba 0.0000 0.0000 0.0000  2 Ba 3.04
Cr 0.3278 0.3278 0.3813  4 Cr 2.30-2.49
Cr 0.6722 0.6722 0.6187  4 Cr 2.30-2.49
Cr 0.6563 0.6563 0.3092  4 Cr 2.30-2.40
Cr 0.0000 0.0000 0.5000  8 Cr 2.40-2.49
Cr 0.3437 0.3437 0.6908  4 Cr 2.30-2.40

***

DFT (PBE-GGA) results for a relaxed BaCr2 crystal.

Results
The value obtained for the formation energy from the elements is 0.571 eV/atom.

abc: 9.9533 9.9533 4.2985
angles: 90.00 90.00 155.46
With the nearest neighbours (Å) after each atom.
Fractional coordinates of all 6 atoms:
Ba 0.6048 0.3952 0.7500  8 Cr 3.45-3.56
Ba 0.3952 0.6048 0.2500  8 Cr 3.45-3.56
Cr 0.8088 0.1912 0.7500  4 Cr 2.41-2.43
Cr 0.2495 0.7505 0.7500  4 Cr 2.41-2.43
Cr 0.7505 0.2495 0.2500  4 Cr 2.41-2.43
Cr 0.1912 0.8088 0.2500  4 Cr 2.41-2.43

***

DFT (PBE-GGA) results for a relaxed Ba2Cr crystal.

Results
The value obtained for the formation energy from the elements is 0.648 eV/atom.

abc: 5.9571 5.9571 5.9571
angles: 60.00 60.00 60.00
With the nearest neighbours (Å) after each atom.
Fractional coordinates of all 3 atoms:
Ba 0.7500 0.7500 0.7500  4 Cr 3.65
Ba 0.2500 0.2500 0.2500  4 Cr 3.65
Cr 0.0000 0.0000 0.0000  8 Ba 3.65

***

DFT (PBE-GGA) results for a relaxed BaCr crystal.

Results
The value obtained for the formation energy from the elements is 1.467 eV/atom.

abc: 7.8770 7.8770 7.8770
angles: 90.00 90.00 90.00
With the nearest neighbours (Å) after each atom.
Fractional coordinates of all 8 atoms:
Ba 0.0000 0.0000 0.0000  4 Cr 3.41
Ba 0.0000 0.5000 0.5000  4 Cr 3.41
Ba 0.5000 0.0000 0.5000  4 Cr 3.41
Ba 0.5000 0.5000 0.0000  4 Cr 3.41
Cr 0.2500 0.2500 0.2500  4 Ba 3.41
Cr 0.2500 0.7500 0.7500  4 Ba 3.41
Cr 0.7500 0.2500 0.7500  4 Ba 3.41
Cr 0.7500 0.7500 0.2500  4 Ba 3.41

***

DFT (PBE-GGA) results for a relaxed Ba3Cr crystal.

Results
The value obtained for the formation energy from the elements is 0.532 eV/atom.

abc: 6.3544 6.3544 6.3544
angles: 60.00 60.00 60.00
With the nearest neighbours (Å) after each atom.
Fractional coordinates of all 4 atoms:
Ba 0.0000 0.0000 0.0000  4 Ba 3.89, 4 Cr 3.89
Ba 0.2500 0.2500 0.2500  8 Ba 3.89
Ba 0.5000 0.5000 0.5000  4 Cr 3.89, 4 Ba 3.89
Cr 0.7500 0.7500 0.7500  8 Ba 3.89

***

DFT (PBE-GGA) results for a relaxed BaCr2 crystal.

Results
The value obtained for the formation energy from the elements is 1.852 eV/atom.

abc: 7.5909 7.5909 7.5909
angles: 90.00 90.00 90.00
With the nearest neighbours (Å) after each atom.
Fractional coordinates of all 12 atoms:
Cr 0.5656 0.5656 0.4344  1 Cr 1.72
Cr 0.4344 0.4344 0.5656  1 Cr 1.72
Cr 0.0656 0.9344 0.5656  1 Cr 1.72
Cr 0.9344 0.0656 0.4344  1 Cr 1.72
Cr 0.4344 0.0656 0.0656  1 Cr 1.72
Cr 0.5656 0.9344 0.9344  1 Cr 1.72
Cr 0.9344 0.4344 0.9344  1 Cr 1.72
Cr 0.0656 0.5656 0.0656  1 Cr 1.72
Ba 0.0000 0.0000 0.0000  6 Cr 3.37
Ba 0.5000 0.5000 0.0000  6 Cr 3.37
Ba 0.5000 0.0000 0.5000  6 Cr 3.37
Ba 0.0000 0.5000 0.5000  6 Cr 3.37

***

DFT (PBE-GGA) results for a relaxed BaCr crystal.

Results
The value obtained for the formation energy from the elements is 1.263 eV/atom.

abc: 3.7708 3.7708 11.9846
angles: 90.00 90.00 120.00
With the nearest neighbours (Å) after each atom.
Fractional coordinates of all 4 atoms:
Ba 0.3333 0.6667 0.6782  4 Cr 3.29-3.47
Ba 0.6667 0.3333 0.1782  4 Cr 3.29-3.47
Cr 0.3333 0.6667 0.4038  4 Ba 3.29-3.47
Cr 0.6667 0.3333 0.9038  4 Ba 3.29-3.47

***

DFT (PBE-GGA) results for a relaxed BaCr crystal.

Results
The value obtained for the formation energy from the elements is 1.190 eV/atom.

abc: 9.3634 9.3634 9.3634
angles: 90.00 90.00 90.00
With the nearest neighbours (Å) after each atom.
Fractional coordinates of all 16 atoms:
Ba 0.2793 0.2793 0.2793  4 Cr 3.20-3.38
Ba 0.2793 0.7207 0.7207  4 Cr 3.20-3.38
Ba 0.7207 0.2793 0.7207  4 Cr 3.20-3.38
Ba 0.7207 0.7207 0.2793  4 Cr 3.20-3.38
Ba 0.7793 0.7793 0.7793  4 Cr 3.20-3.38
Ba 0.7793 0.2207 0.2207  4 Cr 3.20-3.38
Ba 0.2207 0.7793 0.2207  4 Cr 3.20-3.38
Ba 0.2207 0.2207 0.7793  4 Cr 3.20-3.38
Cr 0.0822 0.0822 0.0822  3 Cr 2.18
Cr 0.0822 0.9178 0.9178  3 Cr 2.18
Cr 0.9178 0.0822 0.9178  3 Cr 2.18
Cr 0.9178 0.9178 0.0822  3 Cr 2.18
Cr 0.5822 0.5822 0.5822  3 Cr 2.18
Cr 0.5822 0.4178 0.4178  3 Cr 2.18
Cr 0.4178 0.5822 0.4178  3 Cr 2.18
Cr 0.4178 0.4178 0.5822  3 Cr 2.18

***

DFT (PBE-GGA) results for a relaxed BaCr2 crystal.

Results
The value obtained for the formation energy from the elements is 1.713 eV/atom.

abc: 5.5777 5.5777 5.5777
angles: 60.00 60.00 60.00
With the nearest neighbours (Å) after each atom.
Fractional coordinates of all 3 atoms:
Ba 0.0000 0.0000 0.0000  8 Cr 3.42
Cr 0.7500 0.7500 0.7500  4 Ba 3.42
Cr 0.2500 0.2500 0.2500  4 Ba 3.42

***

DFT (PBE-GGA) results for a relaxed Ba3Cr crystal.

Results
The value obtained for the formation energy from the elements is 0.523 eV/atom.

abc: 4.4676 4.4676 12.1345
angles: 90.00 90.00 120.00
With the nearest neighbours (Å) after each atom.
Fractional coordinates of all 4 atoms:
Ba 0.0000 0.0000 0.9426  3 Cr 3.48
Ba 0.0000 0.0000 0.5574  3 Cr 3.48
Ba 0.6667 0.3333 0.2500  12 Ba 4.47-4.54
Cr 0.6667 0.3333 0.7500  6 Ba 3.48

***

Magnetization per entry: 0.0 4.5 0.7 0.6 5.5 23.7 4.1 0.0 8.4 2.7 10.1 4.5 μB per cell